1.
Compound: LiCa2Re
Source: the Alexandria database
Functional: PBE-GGA
Structure: relaxed

Excess energy over the best structure of this formula in the dataset: 595 meV/atom
Formation enthalpy at 0 K: 4.6 eV/f.u.
Crystal system: tetragonal
V: 22.98 Å³ per atom

Unit cell a=4.3252 b=4.3252 c=10.2931 alpha=77.87 beta=77.87 gamma=90.00
Fractional positions:
Re  0.0000  0.0000  0.0000
Re  0.7500  0.2500  0.5000
Ca  0.6321  0.1250  0.2500
Ca  0.1179  0.6250  0.2500
Ca  0.3750  0.3679  0.7500
Ca  0.8750  0.8821  0.7500
Li  0.5000  0.5000  0.0000
Li  0.2500  0.7500  0.5000

2.
Compound: LiCaRe2
Source: the Alexandria database
Functional: PBE-GGA
Structure: relaxed

Excess energy over the best structure of this formula in the dataset: 318 meV/atom
Formation enthalpy at 0 K: 2.5 eV/f.u.
Crystal system: orthorhombic
V: 16.61 Å³ per atom

Unit cell a=2.6630 b=2.6630 c=9.6831 alpha=90.00 beta=90.00 gamma=104.61
Fractional positions:
Ca  0.5000  0.5000  0.2500
Li  0.5000  0.5000  0.7500
Re  0.0000  0.0000  0.9848
Re  0.0000  0.0000  0.5152

3.
Compound: LiCa2Re
Source: the Alexandria database
Functional: PBE-GGA
Structure: relaxed

Excess energy over the best structure of this formula in the dataset: 142 meV/atom
Formation enthalpy at 0 K: 2.8 eV/f.u.
Crystal system: orthorhombic
V: 22.89 Å³ per atom

Unit cell a=2.9647 b=2.9647 c=10.4204 alpha=90.00 beta=90.00 gamma=90.82
Fractional positions:
Ca  0.0000  0.0000  0.9493
Ca  0.5000  0.5000  0.2751
Li  0.0000  0.0000  0.5449
Re  0.5000  0.5000  0.7307

4.
Compound: LiCa2Re
Source: the Alexandria database
Functional: PBE-GGA
Structure: relaxed

Excess energy over the best structure of this formula in the dataset: 263 meV/atom
Formation enthalpy at 0 K: 3.3 eV/f.u.
Crystal system: cubic
V: 23.01 Å³ per atom

Unit cell a=5.0681 b=5.0681 c=5.0681 alpha=60.00 beta=60.00 gamma=60.00
Site moments in Bohr magnetons follow the coordinates.
Fractional positions:
Ca  0.0000  0.0000  0.0000  0.01
Ca  0.2500  0.2500  0.2500  -0.06
Li  0.5000  0.5000  0.5000  -0.02
Re  0.7500  0.7500  0.7500  1.60

5.
Compound: LiCa2Re
Source: the Alexandria database
Functional: PBE-GGA
Structure: relaxed

Excess energy over the best structure of this formula in the dataset: 0 meV/atom
Formation enthalpy at 0 K: 2.2 eV/f.u.
Crystal system: monoclinic
V: 22.48 Å³ per atom

Unit cell a=5.8618 b=5.8618 c=5.5743 alpha=75.70 beta=75.70 gamma=29.05
Fractional positions:
Ca  0.9694  0.9694  0.0805
Ca  0.7666  0.7666  0.6922
Li  0.5419  0.5419  0.5159
Re  0.2220  0.2220  0.2114

6.
Compound: LiCaRe2
Source: the Alexandria database
Functional: PBE-GGA
Structure: relaxed

Excess energy over the best structure of this formula in the dataset: 0 meV/atom
Formation enthalpy at 0 K: 1.2 eV/f.u.
Crystal system: tetragonal
V: 18.69 Å³ per atom

Unit cell a=3.1548 b=3.1548 c=7.5127 alpha=90.00 beta=90.00 gamma=90.00
Fractional positions:
Ca  0.0000  0.0000  0.4837
Li  0.5000  0.5000  0.8063
Re  0.0000  0.0000  0.0192
Re  0.5000  0.5000  0.1908

7.
Compound: LiCa2Re
Source: the Alexandria database
Functional: PBE-GGA
Structure: relaxed

Excess energy over the best structure of this formula in the dataset: 248 meV/atom
Formation enthalpy at 0 K: 3.2 eV/f.u.
Crystal system: trigonal
V: 23.41 Å³ per atom

Unit cell a=11.0389 b=11.0389 c=11.0389 alpha=16.41 beta=16.41 gamma=16.41
Fractional positions:
Ca  0.0142  0.0142  0.0142
Ca  0.2452  0.2452  0.2452
Li  0.4863  0.4863  0.4863
Re  0.7543  0.7543  0.7543

8.
Compound: LiCaRe2
Source: the Alexandria database
Functional: PBE-GGA
Structure: relaxed

Excess energy over the best structure of this formula in the dataset: 82 meV/atom
Formation enthalpy at 0 K: 1.5 eV/f.u.
Crystal system: monoclinic
V: 18.08 Å³ per atom

Unit cell a=4.3529 b=2.7761 c=6.0612 alpha=80.97 beta=90.00 gamma=90.00
Fractional positions:
Ca  0.0000  0.4971  0.5008
Li  0.5000  0.7776  0.7856
Re  0.0000  0.9918  0.0298
Re  0.5000  0.2335  0.1839

9.
Compound: LiCaRe
Source: the Alexandria database
Functional: PBE-GGA
Structure: relaxed

Excess energy over the best structure of this formula in the dataset: 6 meV/atom
Formation enthalpy at 0 K: 1.9 eV/f.u.
Crystal system: orthorhombic
V: 19.06 Å³ per atom

Unit cell a=7.8522 b=7.7554 c=2.7787 alpha=81.72 beta=77.79 gamma=20.50
Fractional positions:
Ca  0.0138  0.0138  0.9862
Li  0.3138  0.3138  0.6862
Re  0.6724  0.6724  0.3276

10.
Compound: Li3CaRe
Source: the Alexandria database
Functional: PBE-GGA
Structure: relaxed

Excess energy over the best structure of this formula in the dataset: 0 meV/atom
Formation enthalpy at 0 K: 5.0 eV/f.u.
Crystal system: cubic
V: 23.43 Å³ per atom

Unit cell a=4.8928 b=4.8928 c=4.8928 alpha=90.00 beta=90.00 gamma=90.00
Site moments in Bohr magnetons follow the coordinates.
Fractional positions:
Re  0.0000  0.0000  0.0000  1.99
Ca  0.5000  0.5000  0.5000  -0.04
Li  0.0000  0.5000  0.0000  0.02
Li  0.0000  0.0000  0.5000  0.02
Li  0.5000  0.0000  0.0000  0.03

11.
Compound: LiCaReSb2
Source: the Alexandria database
Functional: PBE-GGA
Structure: relaxed

Energy relative to the elements, uncorrected: 0.30 eV per atom
Crystal system: tetragonal
V: 30.13 Å³ per atom

Unit cell a=5.2043 b=5.5619 c=5.2043 alpha=90.00 beta=90.00 gamma=90.00
Fractional positions:
Re  0.0000  0.0000  0.0000
Ca  0.0000  0.5000  0.0000
Li  0.5000  0.5000  0.5000
Sb  0.0000  0.0000  0.5000
Sb  0.5000  0.0000  0.0000

12.
Compound: SrLiCa2Re
Source: the Alexandria database
Functional: PBE-GGA
Structure: relaxed

Formation enthalpy at 0 K: 9.9 eV/f.u.
Crystal system: tetragonal
V: 26.95 Å³ per atom

Unit cell a=5.6044 b=5.6044 c=4.2894 alpha=90.00 beta=90.00 gamma=90.00
Site moments in Bohr magnetons follow the coordinates.
Fractional positions:
Re  0.5000  0.5000  0.5000  -0.11
Ca  0.0000  0.5000  0.0000  0.01
Ca  0.5000  0.0000  0.0000  0.01
Li  0.0000  0.0000  0.5000  0.00
Sr  0.0000  0.0000  0.0000  0.03

What did the fifth record say?
Compound: LiCa2Re
Source: the Alexandria database
Functional: PBE-GGA
Structure: relaxed

Excess energy over the best structure of this formula in the dataset: 0 meV/atom
Formation enthalpy at 0 K: 2.2 eV/f.u.
Crystal system: monoclinic
V: 22.48 Å³ per atom

Unit cell a=5.8618 b=5.8618 c=5.5743 alpha=75.70 beta=75.70 gamma=29.05
Fractional positions:
Ca  0.9694  0.9694  0.0805
Ca  0.7666  0.7666  0.6922
Li  0.5419  0.5419  0.5159
Re  0.2220  0.2220  0.2114